# ScTeRu, relaxed, DFT PBE-GGA
data_ScTeRu
_cell_length_a 4.4847
_cell_length_b 4.4847
_cell_length_c 3.3149
_cell_angle_alpha 90.00
_cell_angle_beta 90.00
_cell_angle_gamma 120.00
_space_group_name_H-M_alt 'P -6 m 2'
_space_group_IT_number 187
_space_group_name_Hall 'P -6 2'
loop_
_atom_site_label
_atom_site_type_symbol
_atom_site_fract_x
_atom_site_fract_y
_atom_site_fract_z
_atom_site_occupancy
Sc1 Sc 0.0000 0.0000 0.0000 1
Te1 Te 0.6667 0.3333 0.5000 1
Ru1 Ru 0.3333 0.6667 0.5000 1
# - crystal system = hexagonal
# - magnetic moment (μB per formula unit) = 0.00
# - raw formation energy (eV/f.u.) = -1.508